Entry 1:
{"formula": "LaCuPd", "functional": "PBE-GGA", "state": "relaxed", "delta_e_f_ev_per_atom": -0.56, "space_group": "Pmmn", "cell": [[4.435, 0.000, 0.000], [0.000, 14.796, 0.000], [0.000, 0.000, 7.815]], "species": ["La", "La", "La", "La", "La", "La", "La", "La", "Cu", "Cu", "Cu", "Cu", "Cu", "Cu", "Cu", "Cu", "Pd", "Pd", "Pd", "Pd", "Pd", "Pd", "Pd", "Pd"], "frac_coords": [[0.250, 0.001, 0.218], [0.250, 0.250, 0.286], [0.250, 0.499, 0.218], [0.250, 0.750, 0.279], [0.750, 0.250, 0.721], [0.750, 0.501, 0.782], [0.750, 0.750, 0.714], [0.750, 0.999, 0.782], [0.250, 0.101, 0.584], [0.250, 0.399, 0.584], [0.250, 0.654, 0.916], [0.250, 0.846, 0.916], [0.750, 0.154, 0.084], [0.750, 0.346, 0.084], [0.750, 0.601, 0.416], [0.750, 0.899, 0.416], [0.250, 0.139, 0.911], [0.250, 0.361, 0.911], [0.250, 0.606, 0.590], [0.250, 0.894, 0.590], [0.750, 0.106, 0.410], [0.750, 0.394, 0.410], [0.750, 0.639, 0.089], [0.750, 0.861, 0.089]]}

Entry 2:
{"formula": "NdGaNi", "functional": "PBE-GGA", "state": "relaxed", "delta_e_f_ev_per_atom": -0.56, "space_group": "Pnma", "cell": [[7.283, 0.000, 0.000], [0.000, 4.532, 0.000], [0.000, 0.000, 7.037]], "species": ["Nd", "Nd", "Nd", "Nd", "Ga", "Ga", "Ga", "Ga", "Ni", "Ni", "Ni", "Ni"], "frac_coords": [[0.031, 0.250, 0.189], [0.469, 0.750, 0.689], [0.531, 0.250, 0.311], [0.969, 0.750, 0.811], [0.181, 0.250, 0.598], [0.319, 0.750, 0.098], [0.681, 0.250, 0.902], [0.819, 0.750, 0.402], [0.172, 0.750, 0.421], [0.328, 0.250, 0.921], [0.672, 0.750, 0.079], [0.828, 0.250, 0.579]]}

Entry 3:
{"formula": "PuPa6Tc5", "functional": "PBE-GGA", "state": "relaxed", "delta_e_f_ev_per_atom": -0.04, "space_group": "C2/m", "cell": [[3.860, -5.556, 0.000], [3.860, 5.556, 0.000], [-1.909, 0.000, 6.135]], "species": ["Pu", "Pa", "Pa", "Pa", "Pa", "Pa", "Pa", "Tc", "Tc", "Tc", "Tc", "Tc"], "frac_coords": [[0.000, 0.000, 0.000], [0.111, 0.470, 0.274], [0.295, 0.295, 0.775], [0.470, 0.111, 0.274], [0.530, 0.889, 0.726], [0.705, 0.705, 0.225], [0.889, 0.530, 0.726], [0.133, 0.867, 0.500], [0.296, 0.704, 0.000], [0.500, 0.500, 0.500], [0.704, 0.296, 0.000], [0.867, 0.133, 0.500]]}

Entry 4:
{"formula": "YSb2", "functional": "PBE-GGA", "state": "relaxed", "e_tot_ev_per_atom": -5.602, "space_group": "I4/mcm", "cell": [[-3.216, 3.216, 4.224], [3.216, -3.216, 4.224], [3.216, 3.216, -4.224]], "species": ["Y", "Y", "Sb", "Sb", "Sb", "Sb"], "frac_coords": [[0.250, 0.250, 0.000], [0.750, 0.750, 0.000], [0.164, 0.664, 0.827], [0.336, 0.164, 0.500], [0.664, 0.836, 0.500], [0.836, 0.336, 0.173]]}

Entry 5:
{"formula": "La2TcAgC", "functional": "PBE-GGA", "state": "relaxed", "delta_e_f_ev_per_atom": -0.14, "space_group": "P4/mmm", "cell": [[5.354, 0.000, 0.000], [0.000, 5.354, 0.000], [0.000, 0.000, 3.986]], "species": ["La", "La", "Tc", "Ag", "C"], "frac_coords": [[0.000, 0.500, 0.000], [0.500, 0.000, 0.000], [0.000, 0.000, 0.500], [0.500, 0.500, 0.500], [0.000, 0.000, 0.000]]}

Entry 6:
{"formula": "Hf2NbFe", "functional": "PBE-GGA", "state": "relaxed", "delta_e_f_ev_per_atom": 0.36, "space_group": "I-42d", "cell": [[-3.661, 3.661, 2.818], [3.661, -3.661, 2.818], [3.661, 3.661, -2.818]], "species": ["Hf", "Hf", "Hf", "Hf", "Nb", "Nb", "Fe", "Fe"], "frac_coords": [[0.076, 0.625, 0.951], [0.375, 0.326, 0.451], [0.674, 0.125, 0.049], [0.875, 0.924, 0.549], [0.250, 0.750, 0.500], [0.500, 0.500, 0.000], [0.000, 0.000, 0.000], [0.750, 0.250, 0.500]]}

Entry 7:
{"formula": "CsInRu2O8", "functional": "PBE-GGA", "state": "relaxed", "e_tot_ev_per_atom": -6.189, "space_group": "C2/m", "cell": [[4.516, -2.991, 0.000], [4.516, 2.991, 0.000], [-1.105, 0.000, 8.814]], "species": ["Cs", "In", "Ru", "Ru", "O", "O", "O", "O", "O", "O", "O", "O"], "frac_coords": [[0.000, 0.000, 0.000], [0.000, 0.000, 0.500], [0.386, 0.386, 0.699], [0.614, 0.614, 0.301], [0.242, 0.242, 0.538], [0.244, 0.746, 0.681], [0.254, 0.756, 0.319], [0.318, 0.318, 0.875], [0.682, 0.682, 0.125], [0.746, 0.244, 0.681], [0.756, 0.254, 0.319], [0.758, 0.758, 0.462]]}

Entry 8:
{"formula": "RbNaCd2Pb", "functional": "PBE-GGA", "state": "relaxed", "delta_e_f_ev_per_atom": 0.06, "space_group": "P4/mmm", "cell": [[6.000, 0.000, 0.000], [0.000, 6.000, 0.000], [0.000, 0.000, 5.978]], "species": ["Rb", "Na", "Cd", "Cd", "Pb"], "frac_coords": [[0.000, 0.000, 0.000], [0.500, 0.500, 0.000], [0.000, 0.500, 0.500], [0.500, 0.000, 0.500], [0.500, 0.500, 0.500]]}

Entry 9:
{"formula": "ZnN", "functional": "PBE-GGA", "state": "relaxed", "e_tot_ev_per_atom": -4.482, "space_group": "C2/m", "cell": [[2.726, -1.571, 0.000], [2.726, 1.571, 0.000], [-1.442, 0.000, 5.952]], "species": ["Zn", "Zn", "N", "N"], "frac_coords": [[0.111, 0.111, 0.339], [0.889, 0.889, 0.661], [0.473, 0.473, 0.898], [0.527, 0.527, 0.102]]}

Entry 10:
{"formula": "NaPbBrO", "functional": "PBE-GGA", "state": "relaxed", "e_tot_ev_per_atom": -4.098, "space_group": "P3m1", "cell": [[3.945, 0.000, 0.000], [-1.973, 3.417, 0.000], [0.000, 0.000, 7.378]], "species": ["Na", "Pb", "Br", "O"], "frac_coords": [[0.000, 0.000, 0.000], [0.333, 0.667, 0.575], [0.667, 0.333, 0.222], [0.000, 0.000, 0.695]]}

Entry 11:
{"formula": "Tb6HgRu", "functional": "PBE-GGA", "state": "relaxed", "delta_e_f_ev_per_atom": -0.14, "space_group": "I4/mmm", "cell": [[-2.548, 2.548, 8.578], [2.548, -2.548, 8.578], [2.548, 2.548, -8.578]], "species": ["Tb", "Tb", "Tb", "Tb", "Tb", "Tb", "Hg", "Ru"], "frac_coords": [[0.100, 0.600, 0.500], [0.248, 0.248, 0.000], [0.400, 0.900, 0.500], [0.600, 0.100, 0.500], [0.752, 0.752, 0.000], [0.900, 0.400, 0.500], [0.500, 0.500, 0.000], [0.000, 0.000, 0.000]]}

Entry 12:
{"formula": "CaLa2Cd", "functional": "PBE-GGA", "state": "relaxed", "delta_e_f_ev_per_atom": -0.05, "space_group": "Pmmm", "cell": [[3.942, 0.000, 0.000], [0.000, 5.639, 0.000], [0.000, 0.000, 5.929]], "species": ["Ca", "La", "La", "Cd"], "frac_coords": [[0.000, 0.000, 0.000], [0.000, 0.500, 0.500], [0.500, 0.000, 0.500], [0.500, 0.500, 0.000]]}

Number 1: total magnetic moment 0.000 μB per cell. Number 2: total magnetic moment 0.000 μB per cell. Number 3: total magnetic moment 6.896 μB per cell. Number 4: total magnetic moment 0.000 μB per cell. Number 5: total magnetic moment 0.000 μB per cell. Number 6: total magnetic moment 0.000 μB per cell. Number 7: total magnetic moment 3.867 μB per cell. Number 8: total magnetic moment 0.000 μB per cell. Number 9: total magnetic moment 0.000 μB per cell. Number 10: total magnetic moment 0.000 μB per cell. Number 11: total magnetic moment 0.002 μB per cell. Number 12: total magnetic moment 0.003 μB per cell.